Record 1
Computed, not measured: a relaxed structure of Sm3Ag2Hg3Au at the PBE level of DFT.

```
Sm3Ag2Hg3Au
1.0
8.005 0.000 0.000
-4.002 6.932 0.000
0.000 0.000 3.896
Sm Ag Hg Au
3 2 3 1
Cartesian
-1.567 2.714 0.000 Sm
3.134 0.000 0.000 Sm
2.436 4.218 0.000 Sm
0.000 4.622 1.948 Ag
4.002 2.311 1.948 Ag
-2.896 5.015 1.948 Hg
1.107 1.917 1.948 Hg
5.791 0.000 1.948 Hg
0.000 0.000 0.000 Au
```

## Properties
DFT total energy = -27.91 eV per formula unit
Density = 11256 kg/m³
Space-group type = P-62m (189)
Total moment = 0.00 μB per formula unit


Record 2
Computed, not measured: a relaxed structure of AlFeCuTe4 at the PBE level of DFT.

```
AlFeCuTe4
1.0
7.895 0.000 0.000
0.000 7.895 0.000
0.000 0.000 11.058
Al Fe Cu Te
4 4 4 16
Cartesian
1.861 1.861 4.147 Al
1.861 6.034 1.382 Al
6.034 1.861 6.911 Al
6.034 6.034 9.676 Al
0.000 2.047 0.000 Fe
0.000 5.848 5.529 Fe
2.047 0.000 8.294 Fe
5.848 0.000 2.765 Fe
2.036 3.948 8.294 Cu
3.948 2.036 0.000 Cu
3.948 5.859 5.529 Cu
5.859 3.948 2.765 Cu
0.283 1.880 8.493 Te
0.283 6.015 8.094 Te
1.880 0.283 10.859 Te
1.882 3.789 11.013 Te
1.882 4.106 5.574 Te
1.880 7.612 5.728 Te
3.789 1.882 8.339 Te
3.789 6.013 8.248 Te
4.106 1.882 2.719 Te
4.106 6.013 2.810 Te
6.015 0.283 0.199 Te
6.013 3.789 0.045 Te
6.013 4.106 5.484 Te
6.015 7.612 5.330 Te
7.612 1.880 2.565 Te
7.612 6.015 2.964 Te
```

## Properties
DFT total energy = -28.81 eV per formula unit
Density = 6329 kg/m³
Energy above the most stable polymorph in this dataset = 98 meV/atom
Space-group type = P4_122 (91)
Total moment = 0.99 μB per formula unit


Record 3
Computed, not measured: a relaxed structure of Ta2Ge2Pt at the PBE level of DFT.

```
Ta2Ge2Pt
1.0
-1.824 1.824 6.528
1.824 -1.824 6.528
1.824 1.824 -6.528
Ta Ge Pt
2 2 1
Cartesian
0.000 0.000 1.291 Ta
0.000 0.000 11.765 Ta
1.824 0.000 3.264 Ge
0.000 1.824 3.264 Ge
0.000 0.000 6.528 Pt
```

## Properties
DFT total energy = -38.68 eV per formula unit
Density = 13420 kg/m³
Space-group type = I4/mmm (139)
Total moment = 0.00 μB per formula unit


Record 4
Computed, not measured: a relaxed structure of TbHoTe at the PBE level of DFT.

```
TbHoTe
1.0
0.000 3.569 3.569
3.569 0.000 3.569
3.569 3.569 0.000
Tb Ho Te
1 1 1
Cartesian
0.000 0.000 0.000 Tb
3.569 3.569 3.569 Ho
1.785 1.785 1.785 Te
```

## Properties
DFT total energy = -13.78 eV per formula unit
Density = 8245 kg/m³
Space-group type = F-43m (216)
Total moment = 0.79 μB per formula unit


Record 5
Computed, not measured: a relaxed structure of Hf3Ta2Pt2 at the PBE level of DFT.

```
Hf3Ta2Pt2
1.0
2.368 1.367 6.661
-2.368 1.367 6.661
0.000 -2.734 6.661
Hf Ta Pt
3 2 2
Cartesian
0.000 0.000 0.000 Hf
0.000 0.000 5.467 Hf
0.000 0.000 14.198 Hf
0.000 0.000 8.616 Ta
0.000 0.000 16.950 Ta
0.000 0.000 2.622 Pt
0.000 0.000 11.506 Pt
```

## Properties
DFT total energy = -67.99 eV per formula unit
Density = 16527 kg/m³
Space-group type = R3m (160)
Total moment = 0.01 μB per formula unit


Record 6
Computed, not measured: a relaxed structure of MgTaNiGe at the PBE level of DFT.

```
MgTaNiGe
1.0
0.000 3.136 3.136
3.136 0.000 3.136
3.136 3.136 0.000
Mg Ta Ni Ge
1 1 1 1
Cartesian
0.000 0.000 0.000 Mg
1.568 1.568 1.568 Ta
4.704 4.704 4.704 Ni
3.136 3.136 3.136 Ge
```

## Properties
DFT total energy = -22.61 eV per formula unit
Density = 9059 kg/m³
Energy above the most stable polymorph in this dataset = 0 meV/atom
Space-group type = F-43m (216)
Total moment = 0.24 μB per formula unit